one | # BeFe2B

A relaxed BeFe2B crystal (PBE-GGA, Alexandria via LeMat-Bulk).

Cell: 2.5359 2.5359 6.5746 Å, 78.88 78.88 60.00°
With the nearest neighbours (Å) after each atom.
Atoms (fractional coordinates):
Be1 0.4999 0.4999 0.5003  6 Fe 2.32-2.33, 6 Be 2.54
Fe1 0.0730 0.0730 0.7811  3 B 2.03
Fe2 0.2605 0.2605 0.2185  3 B 2.03
B1 0.6666 0.6666 0.0001  6 Fe 2.03

* symmetry: R3m (160)
* total magnetization: 1.44 μB/f.u.
* calculated density: 6.12 g/cm³
* Fermi-level density of states: 3.492 states/eV/f.u.

two | # BeFe2B

A relaxed BeFe2B crystal (PBE-GGA, Alexandria via LeMat-Bulk).

Cell: 2.5442 2.5442 5.2059 Å, 90.00 90.00 90.00°
With the nearest neighbours (Å) after each atom.
Atoms (fractional coordinates):
Be1 0.5000 0.5000 0.5000  8 Fe 2.29, 4 Be 2.54
B1 0.5000 0.5000 0.0000  8 Fe 2.15
Fe1 0.0000 0.0000 0.7732  4 B 2.15, 4 Be 2.29, 1 Fe 2.36
Fe2 0.0000 0.0000 0.2268  4 B 2.15, 4 Be 2.29, 1 Fe 2.36

* symmetry: P4/mmm (123)
* total magnetization: 2.31 μB/f.u.
* calculated density: 6.48 g/cm³
* Fermi-level density of states: 3.460 states/eV/f.u.

The energy of each structure relative to the most stable one, in meV/atom, is as follows: one 191; two 0.

one | # BeGaB3

A relaxed BeGaB3 crystal (PBE-GGA, Alexandria via LeMat-Bulk).

Cell: 3.7401 3.7401 3.7401 Å, 90.00 90.00 90.00°
With the nearest neighbours (Å) after each atom.
Atoms (fractional coordinates):
Be1 0.0000 0.0000 0.0000  6 B 1.87
B1 0.0000 0.5000 0.0000  2 Be 1.87
B2 0.0000 0.0000 0.5000  2 Be 1.87
B3 0.5000 0.0000 0.0000  2 Be 1.87
Ga1 0.5000 0.5000 0.5000  12 B 2.64

* symmetry: Pm-3m (221)
* total magnetization: 0.00 μB/f.u.
* calculated density: 3.53 g/cm³
* Fermi-level density of states: 1.411 states/eV/f.u.

two | # BeGaB3

A relaxed BeGaB3 crystal (PBE-GGA, Alexandria via LeMat-Bulk).

Cell: 4.0933 4.0933 4.0933 Å, 90.00 90.00 90.00°
With the nearest neighbours (Å) after each atom.
Atoms (fractional coordinates):
Be1 0.5000 0.5000 0.5000  12 B 2.89
B1 0.0000 0.5000 0.0000  2 Ga 2.05
B2 0.0000 0.0000 0.5000  2 Ga 2.05
B3 0.5000 0.0000 0.0000  2 Ga 2.05
Ga1 0.0000 0.0000 0.0000  6 B 2.05

* symmetry: Pm-3m (221)
* total magnetization: 0.00 μB/f.u.
* calculated density: 2.69 g/cm³
* Fermi-level density of states: 1.950 states/eV/f.u.

The energy of each structure relative to the most stable one, in meV/atom, is as follows: one 0; two 697.